Entry 1:
# Ce2Zr3Se8

A relaxed structure of Ce2Zr3Se8 (GGA-PBE, the Alexandria database).

As for the formation energy without anion corrections: -1.4650 eV/atom. As for the total moment: 2.41 μB/f.u. As for the crystal system: monoclinic. As for the total energy: -6.4949 eV per atom.

```
data_Ce2Zr3Se8
_chemical_formula_sum 'Ce4 Zr6 Se16'
_cell_length_a 14.5175
_cell_length_b 7.7210
_cell_length_c 6.7044
_cell_angle_alpha 90.00
_cell_angle_beta 107.05
_cell_angle_gamma 90.00
_symmetry_space_group_name_H-M 'C 1 2/m 1'
_symmetry_Int_Tables_number 12
loop_
_symmetry_equiv_pos_as_xyz
'x,y,z'
'-x,-y,-z'
'-x,y,-z'
'x,-y,z'
'x+1/2,y+1/2,z'
'-x+1/2,-y+1/2,-z'
'-x+1/2,y+1/2,-z'
'x+1/2,-y+1/2,z'
loop_
_atom_site_label
_atom_site_type_symbol
_atom_site_fract_x
_atom_site_fract_y
_atom_site_fract_z
_atom_site_occupancy
Ce1 Ce 0.2472 0.0000 0.3206 1
Zr1 Zr 0.0000 0.0000 0.5000 1
Zr2 Zr 0.0000 0.2514 0.0000 1
Se1 Se 0.1109 0.5000 0.9125 1
Se2 Se 0.1130 0.2509 0.4083 1
Se3 Se 0.1154 0.0000 0.8999 1
```

=====

Entry 2:
# Ac3ZnGa2Pd6

A relaxed structure of Ac3ZnGa2Pd6 (GGA-PBE, the Alexandria database).

As for the total moment: 0.00 μB/f.u. As for the crystal system: trigonal. As for the total energy: -4.9162 eV per atom. The value obtained for the formation energy is -0.68 eV per atom.

```
data_Ac3ZnGa2Pd6
_chemical_formula_sum 'Ac3 Zn1 Ga2 Pd6'
_cell_length_a 5.9356
_cell_length_b 5.9356
_cell_length_c 8.8259
_cell_angle_alpha 90.00
_cell_angle_beta 90.00
_cell_angle_gamma 120.00
_symmetry_space_group_name_H-M 'P -3 m 1'
_symmetry_Int_Tables_number 164
_symmetry_space_group_name_Hall '-P 3 2"'
loop_
_atom_site_label
_atom_site_type_symbol
_atom_site_fract_x
_atom_site_fract_y
_atom_site_fract_z
_atom_site_occupancy
Ac1 Ac 0.0000 0.0000 0.0000 1
Ac2 Ac 0.3333 0.6667 0.6342 1
Zn1 Zn 0.0000 0.0000 0.5000 1
Ga1 Ga 0.3333 0.6667 0.0425 1
Pd1 Pd 0.1738 0.3475 0.2857 1
```

=====

Entry 3:
# Sr2Li2NdSn2

A relaxed structure of Sr2Li2NdSn2 (GGA-PBE, the Alexandria database).

As for the total moment: 0.63 μB/f.u. As for the crystal system: trigonal. As for the total energy: -3.3670 eV per atom. The value obtained for the formation energy is -0.51 eV per atom.

```
data_Sr2Li2NdSn2
_chemical_formula_sum 'Sr6 Li6 Nd3 Sn6'
_cell_length_a 4.8447
_cell_length_b 4.8447
_cell_length_c 33.6888
_cell_angle_alpha 90.00
_cell_angle_beta 90.00
_cell_angle_gamma 120.00
_symmetry_space_group_name_H-M 'R -3 m'
_symmetry_Int_Tables_number 166
_symmetry_space_group_name_Hall '-R 3 2"'
loop_
_atom_site_label
_atom_site_type_symbol
_atom_site_fract_x
_atom_site_fract_y
_atom_site_fract_z
_atom_site_occupancy
Sr1 Sr 0.0000 0.0000 0.1154 1
Li1 Li 0.0000 0.0000 0.3807 1
Nd1 Nd 0.0000 0.0000 0.0000 1
Sn1 Sn 0.0000 0.0000 0.2792 1
```

=====

Entry 4:
# MgZr4Re

A relaxed structure of MgZr4Re (GGA-PBE, the Alexandria database).

As for the total moment: 0.00 μB/f.u. As for the crystal system: cubic. As for the total energy: -7.4772 eV per atom. The value obtained for the formation energy is 0.56 eV per atom.

```
data_MgZr4Re
_chemical_formula_sum 'Mg4 Zr16 Re4'
_cell_length_a 7.9997
_cell_length_b 7.9997
_cell_length_c 7.9997
_cell_angle_alpha 90.00
_cell_angle_beta 90.00
_cell_angle_gamma 90.00
_symmetry_space_group_name_H-M 'F -4 3 m'
_symmetry_Int_Tables_number 216
_symmetry_space_group_name_Hall 'F -4 2 3'
loop_
_atom_site_label
_atom_site_type_symbol
_atom_site_fract_x
_atom_site_fract_y
_atom_site_fract_z
_atom_site_occupancy
Mg1 Mg 0.0000 0.0000 0.0000 1
Zr1 Zr 0.1226 0.1226 0.3774 1
Re1 Re 0.2500 0.2500 0.7500 1
```

=====

Entry 5:
# CaPuCuPt

A relaxed structure of CaPuCuPt (GGA-PBE, the Alexandria database).

As for the total moment: 5.85 μB/f.u. As for the crystal system: cubic. As for the total energy: -6.9999 eV per atom. The value obtained for the formation energy is -0.38 eV per atom.

```
data_CaPuCuPt
_chemical_formula_sum 'Ca4 Pu4 Cu4 Pt4'
_cell_length_a 7.0173
_cell_length_b 7.0173
_cell_length_c 7.0173
_cell_angle_alpha 90.00
_cell_angle_beta 90.00
_cell_angle_gamma 90.00
_symmetry_space_group_name_H-M 'F -4 3 m'
_symmetry_Int_Tables_number 216
_symmetry_space_group_name_Hall 'F -4 2 3'
loop_
_atom_site_label
_atom_site_type_symbol
_atom_site_fract_x
_atom_site_fract_y
_atom_site_fract_z
_atom_site_occupancy
Ca1 Ca 0.0000 0.0000 0.0000 1
Pu1 Pu 0.0000 0.0000 0.5000 1
Cu1 Cu 0.2500 0.2500 0.2500 1
Pt1 Pt 0.2500 0.2500 0.7500 1
```

=====

Entry 6:
# Fe2ReBr

A relaxed structure of Fe2ReBr (GGA-PBE, the Alexandria database).

For the energy relative to the lowest polymorph listed for this composition, the calculation gives 0.16 eV per formula unit. As for the formation energy without anion corrections: 0.5899 eV/atom. As for the total moment: 4.40 μB/f.u. As for the crystal system: tetragonal. As for the total energy: -7.1717 eV per atom.

```
data_Fe2ReBr
_chemical_formula_sum 'Fe2 Re1 Br1'
_cell_length_a 2.9386
_cell_length_b 2.9386
_cell_length_c 6.8972
_cell_angle_alpha 90.00
_cell_angle_beta 90.00
_cell_angle_gamma 90.00
_symmetry_space_group_name_H-M 'P 4/m m m'
_symmetry_Int_Tables_number 123
_symmetry_space_group_name_Hall '-P 4 2'
loop_
_atom_site_label
_atom_site_type_symbol
_atom_site_fract_x
_atom_site_fract_y
_atom_site_fract_z
_atom_site_occupancy
Fe1 Fe 0.0000 0.0000 0.2286 1
Re1 Re 0.5000 0.5000 0.0000 1
Br1 Br 0.5000 0.5000 0.5000 1
```

=====

Entry 7:
# CaMoRh2

A relaxed structure of CaMoRh2 (GGA-PBE, the Alexandria database).

For the energy relative to the lowest polymorph listed for this composition, the calculation gives 1.37 eV per formula unit. As for the total moment: 0.00 μB/f.u. As for the crystal system: tetragonal. As for the total energy: -6.6837 eV per atom. The value obtained for the formation energy is 0.20 eV per atom.

```
data_CaMoRh2
_chemical_formula_sum 'Ca1 Mo1 Rh2'
_cell_length_a 3.3313
_cell_length_b 3.3313
_cell_length_c 6.7181
_cell_angle_alpha 90.00
_cell_angle_beta 90.00
_cell_angle_gamma 90.00
_symmetry_space_group_name_H-M 'P 4 m m'
_symmetry_Int_Tables_number 99
loop_
_symmetry_equiv_pos_as_xyz
'x,y,z'
'-y,x,z'
'-x,-y,z'
'y,-x,z'
'-x,y,z'
'y,x,z'
'x,-y,z'
'-y,-x,z'
loop_
_atom_site_label
_atom_site_type_symbol
_atom_site_fract_x
_atom_site_fract_y
_atom_site_fract_z
_atom_site_occupancy
Ca1 Ca 0.0000 0.0000 0.0000 1
Mo1 Mo 0.5000 0.5000 0.3532 1
Rh1 Rh 0.0000 0.0000 0.5018 1
Rh2 Rh 0.5000 0.5000 0.7365 1
```

=====

Entry 8:
# TbPr4Sm3

A relaxed structure of TbPr4Sm3 (GGA-PBE, the Alexandria database).

For the energy relative to the lowest polymorph listed for this composition, the calculation gives 0.13 eV per formula unit. As for the total moment: 0.00 μB/f.u. As for the crystal system: orthorhombic. As for the total energy: -4.7054 eV per atom. The value obtained for the formation energy is 0.03 eV per atom.

```
data_TbPr4Sm3
_chemical_formula_sum 'Tb2 Pr8 Sm6'
_cell_length_a 11.8690
_cell_length_b 7.3941
_cell_length_c 6.3914
_cell_angle_alpha 90.00
_cell_angle_beta 90.00
_cell_angle_gamma 90.00
_symmetry_space_group_name_H-M 'P m n 21'
_symmetry_Int_Tables_number 31
loop_
_symmetry_equiv_pos_as_xyz
'x,y,z'
'-x+1/2,-y,z+1/2'
'-x,y,z'
'x+1/2,-y,z+1/2'
loop_
_atom_site_label
_atom_site_type_symbol
_atom_site_fract_x
_atom_site_fract_y
_atom_site_fract_z
_atom_site_occupancy
Tb1 Tb 0.0000 0.1218 0.0000 1
Pr1 Pr 0.0000 0.3730 0.5026 1
Pr2 Pr 0.0000 0.6266 0.9997 1
Pr3 Pr 0.2486 0.3721 0.1668 1
Sm1 Sm 0.0000 0.8771 0.4990 1
Sm2 Sm 0.2499 0.1226 0.6685 1
```

=====

Entry 9:
# Ca2FeAs

A relaxed structure of Ca2FeAs (GGA-PBE, the Alexandria database).

As for the total moment: 0.00 μB/f.u. As for the crystal system: tetragonal. As for the total energy: -4.3971 eV per atom. The value obtained for the formation energy is -0.12 eV per atom.

```
data_Ca2FeAs
_chemical_formula_sum 'Ca8 Fe4 As4'
_cell_length_a 10.3711
_cell_length_b 10.3711
_cell_length_c 4.4032
_cell_angle_alpha 90.00
_cell_angle_beta 90.00
_cell_angle_gamma 90.00
_symmetry_space_group_name_H-M 'I -4 2 d'
_symmetry_Int_Tables_number 122
_symmetry_space_group_name_Hall 'I -4 2bw'
loop_
_atom_site_label
_atom_site_type_symbol
_atom_site_fract_x
_atom_site_fract_y
_atom_site_fract_z
_atom_site_occupancy
Ca1 Ca 0.0646 0.2500 0.1250 1
Fe1 Fe 0.0000 0.0000 0.0000 1
As1 As 0.0000 0.0000 0.5000 1
```

=====

Entry 10:
# TcH2Br4

A relaxed structure of TcH2Br4 (GGA-PBE, the Alexandria database).

As for the total moment: 3.00 μB/f.u. As for the crystal system: triclinic. As for the total energy: -3.4259 eV per atom.

```
data_TcH2Br4
_chemical_formula_sum 'Tc1 H2 Br4'
_cell_length_a 3.7251
_cell_length_b 6.9608
_cell_length_c 8.1788
_cell_angle_alpha 90.99
_cell_angle_beta 101.64
_cell_angle_gamma 94.98
_symmetry_space_group_name_H-M 'P -1'
_symmetry_Int_Tables_number 2
loop_
_symmetry_equiv_pos_as_xyz
'x,y,z'
'-x,-y,-z'
loop_
_atom_site_label
_atom_site_type_symbol
_atom_site_fract_x
_atom_site_fract_y
_atom_site_fract_z
_atom_site_occupancy
Tc1 Tc 0.0000 0.0000 0.0000 1
H1 H 0.1436 0.4814 0.7726 1
Br1 Br 0.1191 0.6842 0.2857 1
Br2 Br 0.3964 0.8262 0.8316 1
```

=====

| no. | N(E_F) (states/eV per atom) | density (g cm⁻³) |
| --- | --- | --- |
| 1 | 1.353 | 5.5 |
| 2 | 0.460 | 9.4 |
| 3 | 0.408 | 4.2 |
| 4 | 1.234 | 7.5 |
| 5 | 2.998 | 10.4 |
| 6 | 1.248 | 10.5 |
| 7 | 1.304 | 7.6 |
| 8 | 1.755 | 6.9 |
| 9 | 0.786 | 3.0 |
| 10 | 0.305 | 3.4 |